Record 1
An optimized crystal structure of CdNi2Os. Source: the Alexandria database, functional PBE.

- Space group: Pmmm (47)
- Volume: 56.3 Å³ per cell
- N(E_F): 4.4 states/eV/cell
- Energy of formation: 0.219 eV per atom
- E_tot: -5.71 eV per atom

a = 2.698 Å, b = 3.585 Å, c = 5.820 Å
α = 90.00°, β = 90.00°, γ = 90.00°
Fractional positions:
Cd 0.500 0.500 0.750
Ni 0.000 0.000 0.037
Ni 0.000 0.000 0.463
Os 0.500 0.500 0.250

=====

Record 2
An optimized crystal structure of CdNi2Os. Source: the Alexandria database, functional PBE.

- Space group: Imm2 (44)
- Volume: 55.8 Å³ per cell
- N(E_F): 6.0 states/eV/cell
- Energy of formation: 0.334 eV per atom
- E_tot: -5.59 eV per atom

a = 5.304 Å, b = 5.304 Å, c = 5.304 Å
α = 150.60°, β = 129.89°, γ = 59.16°
Each line ends with the local moment (μB).
Fractional positions:
Cd 0.243 0.743 0.500  0.00
Ni 0.981 0.981 0.000  0.18
Ni 0.753 0.253 0.500  0.16
Os 0.523 0.523 0.000  0.21

=====

Record 3
An optimized crystal structure of Cd3NiOs. Source: the Alexandria database, functional PBE.

- Space group: Pm-3m (221)
- Volume: 137.9 Å³ per cell
- N(E_F): 13.7 states/eV/cell
- Offset from the most stable computed form: 130 meV/atom
- Energy of formation: 1.343 eV per atom
- E_tot: -2.61 eV per atom

a = 5.166 Å, b = 5.166 Å, c = 5.166 Å
α = 90.00°, β = 90.00°, γ = 90.00°
Each line ends with the local moment (μB).
Fractional positions:
Ni 0.500 0.500 0.500  0.78
Os 0.000 0.000 0.000  0.62
Cd 0.000 0.500 0.000  0.01
Cd 0.000 0.000 0.500  0.00
Cd 0.500 0.000 0.000  -0.01

=====

Record 4
An optimized crystal structure of CdNiOs2. Source: the Alexandria database, functional PBE.

- Space group: I4/mmm (139)
- Volume: 59.6 Å³ per cell
- N(E_F): 4.8 states/eV/cell
- Energy of formation: 0.658 eV per atom
- E_tot: -6.63 eV per atom

a = 5.001 Å, b = 5.001 Å, c = 5.001 Å
α = 135.99°, β = 135.99°, γ = 64.00°
Fractional positions:
Cd 0.250 0.750 0.500
Ni 0.750 0.250 0.500
Os 0.000 0.000 0.000
Os 0.500 0.500 0.000

=====

Record 5
An optimized crystal structure of Cd2NiOs. Source: the Alexandria database, functional PBE.

- Space group: P4/mmm (123)
- Volume: 64.7 Å³ per cell
- N(E_F): 4.4 states/eV/cell
- Offset from the most stable computed form: 193 meV/atom
- Energy of formation: 0.485 eV per atom
- E_tot: -4.23 eV per atom

a = 2.821 Å, b = 2.821 Å, c = 8.135 Å
α = 90.00°, β = 90.00°, γ = 90.00°
Each line ends with the local moment (μB).
Fractional positions:
Cd 0.000 0.000 0.017  0.00
Cd 0.000 0.000 0.483  0.00
Ni 0.500 0.500 0.250  0.04
Os 0.500 0.500 0.750  0.54

=====

Record 6
An optimized crystal structure of CdNi2Os. Source: the Alexandria database, functional PBE.

- Space group: C2/m (12)
- Volume: 57.4 Å³ per cell
- N(E_F): 4.0 states/eV/cell
- Energy of formation: 0.345 eV per atom
- E_tot: -5.58 eV per atom

a = 4.445 Å, b = 4.445 Å, c = 5.125 Å
α = 82.95°, β = 82.95°, γ = 34.86°
Fractional positions:
Cd 0.250 0.250 0.250
Ni 0.005 0.005 0.957
Ni 0.495 0.495 0.543
Os 0.750 0.750 0.750

=====

Record 7
An optimized crystal structure of CdNi4Os. Source: the Alexandria database, functional PBE.

- Space group: F-43m (216)
- Volume: 77.1 Å³ per cell
- N(E_F): 4.7 states/eV/cell
- Energy of formation: 0.257 eV per atom
- E_tot: -5.62 eV per atom

a = 4.777 Å, b = 4.777 Å, c = 4.777 Å
α = 60.00°, β = 60.00°, γ = 60.00°
Each line ends with the local moment (μB).
Fractional positions:
Cd 0.000 0.000 0.000  -0.01
Ni 0.874 0.375 0.375  0.62
Ni 0.375 0.375 0.874  0.62
Ni 0.375 0.874 0.375  0.62
Ni 0.375 0.375 0.375  0.62
Os 0.750 0.750 0.750  1.32

=====

Record 8
An optimized crystal structure of CdNiOs2. Source: the Alexandria database, functional PBE.

- Space group: Cmmm (65)
- Volume: 59.9 Å³ per cell
- N(E_F): 5.0 states/eV/cell
- Energy of formation: 0.700 eV per atom
- E_tot: -6.59 eV per atom

a = 4.956 Å, b = 4.956 Å, c = 2.734 Å
α = 90.00°, β = 90.00°, γ = 116.83°
Fractional positions:
Cd 0.500 0.000 0.500
Ni 0.000 0.500 0.500
Os 0.000 0.000 0.000
Os 0.500 0.500 0.000